## K3Ac3MnSe8 (PBE)

Data for crystalline K3Ac3MnSe8 at its relaxed geometry.

Properties
- raw total energy (eV/atom) = -4.946
- raw formation energy (eV per atom) = -1.44

Unit cell a=9.3382 b=9.3382 c=9.3382 alpha=56.23 beta=56.23 gamma=56.23
Last column: nearest neighbours and their distance in Å.
Positions (direct):
K 0.0000 0.5000 0.5000  6 Se 3.34-3.39
K 0.5000 0.0000 0.5000  6 Se 3.34-3.39
K 0.5000 0.5000 0.0000  6 Se 3.34-3.39
Ac 0.0000 0.0000 0.5000  6 Se 3.08-3.14
Ac 0.0000 0.5000 0.0000  6 Se 3.08-3.14
Ac 0.5000 0.0000 0.0000  6 Se 3.08-3.14
Mn 0.5000 0.5000 0.5000  6 Se 2.62
Se 0.2410 0.2410 0.2410  3 Ac 3.08, 3 K 3.34
Se 0.2813 0.7048 0.7048  1 Mn 2.62
Se 0.2952 0.2952 0.7187  1 Mn 2.62
Se 0.2952 0.7187 0.2952  1 Mn 2.62
Se 0.7048 0.2813 0.7048  1 Mn 2.62
Se 0.7048 0.7048 0.2813  1 Mn 2.62
Se 0.7187 0.2952 0.2952  1 Mn 2.62
Se 0.7590 0.7590 0.7590  3 Ac 3.08, 3 K 3.34

## K2AcMnSe4 (PBE)

Data for crystalline K2AcMnSe4 at its relaxed geometry.

Properties
- raw total energy (eV/atom) = -4.838
- raw formation energy (eV per atom) = -1.16

Unit cell a=8.6841 b=8.6841 c=8.9561 alpha=119.08 beta=119.08 gamma=89.06
Last column: nearest neighbours and their distance in Å.
Positions (direct):
K 0.0000 0.0000 0.0000  4 Se 3.25-3.50
K 0.0000 0.0000 0.5000  4 Se 3.25-3.50
K 0.0000 0.5000 0.0000  6 Se 3.13-3.45
K 0.5000 0.0000 0.5000  6 Se 3.13-3.45
Ac 0.0000 0.5000 0.5000  6 Se 3.06-3.16
Ac 0.5000 0.0000 0.0000  6 Se 3.06-3.16
Mn 0.5000 0.5000 0.0000  4 Se 2.54-2.60
Mn 0.5000 0.5000 0.5000  4 Se 2.54-2.60
Se 0.2787 0.7043 0.9776  1 Mn 2.60
Se 0.2856 0.2915 0.4876  1 Mn 2.54
Se 0.2915 0.2856 0.9876  1 Mn 2.54
Se 0.2957 0.7213 0.5224  1 Mn 2.60
Se 0.7043 0.2787 0.4776  1 Mn 2.60
Se 0.7085 0.7144 0.0124  1 Mn 2.54
Se 0.7144 0.7085 0.5124  1 Mn 2.54
Se 0.7213 0.2957 0.0224  1 Mn 2.60

## K4Ac3MnSe8 (PBE)

Data for crystalline K4Ac3MnSe8 at its relaxed geometry.

Properties
- raw total energy (eV/atom) = -4.838
- raw formation energy (eV per atom) = -1.48

Unit cell a=8.9485 b=8.9485 c=9.2829 alpha=118.32 beta=118.32 gamma=58.67
Last column: nearest neighbours and their distance in Å.
Positions (direct):
K 0.0000 0.0000 0.0000  2 Se 3.19
K 0.0000 0.5000 0.0000  6 Se 3.30-3.48
K 0.5000 0.0000 0.0000  6 Se 3.30-3.48
K 0.5000 0.5000 0.0000  6 Se 3.36-3.46
Ac 0.0000 0.0000 0.5000  6 Se 3.10-3.14
Ac 0.0000 0.5000 0.5000  6 Se 3.07-3.19
Ac 0.5000 0.0000 0.5000  6 Se 3.07-3.19
Mn 0.5000 0.5000 0.5000  4 Se 2.60
Se 0.2369 0.2369 0.7226  3 Ac 3.09-3.10, 3 K 3.30-3.46
Se 0.2417 0.2417 0.2618  2 Ac 3.07, 3 K 3.19-3.33, 1 Mn 3.38
Se 0.2815 0.7002 0.6890  1 Mn 2.60
Se 0.2998 0.7185 0.3110  1 Mn 2.60
Se 0.7002 0.2815 0.6890  1 Mn 2.60
Se 0.7185 0.2998 0.3110  1 Mn 2.60
Se 0.7583 0.7583 0.7382  2 Ac 3.07, 3 K 3.19-3.33, 1 Mn 3.38
Se 0.7631 0.7631 0.2774  3 Ac 3.09-3.10, 3 K 3.30-3.46

## K4Ac3MnTe8 (PBE)

Data for crystalline K4Ac3MnTe8 at its relaxed geometry.

Properties
- raw total energy (eV/atom) = -4.373
- raw formation energy (eV per atom) = -1.18

Unit cell a=9.4832 b=9.4832 c=9.9277 alpha=118.30 beta=118.30 gamma=58.99
Last column: nearest neighbours and their distance in Å.
Positions (direct):
K 0.0000 0.0000 0.0000  2 Te 3.45
K 0.0000 0.5000 0.0000  6 Te 3.51-3.65
K 0.5000 0.0000 0.0000  6 Te 3.51-3.65
K 0.5000 0.5000 0.0000  6 Te 3.57-3.62
Ac 0.0000 0.0000 0.5000  6 Te 3.32-3.35
Ac 0.0000 0.5000 0.5000  6 Te 3.29-3.39
Ac 0.5000 0.0000 0.5000  6 Te 3.29-3.39
Mn 0.5000 0.5000 0.5000  4 Te 2.81
Te 0.2399 0.2399 0.7276  3 Ac 3.32, 3 K 3.51-3.62
Te 0.2473 0.2473 0.2643  2 Ac 3.29, 3 K 3.45-3.53, 1 Mn 3.50
Te 0.2814 0.7045 0.6947  1 Mn 2.81
Te 0.2955 0.7186 0.3053  1 Mn 2.81
Te 0.7045 0.2814 0.6947  1 Mn 2.81
Te 0.7186 0.2955 0.3053  1 Mn 2.81
Te 0.7527 0.7527 0.7357  2 Ac 3.29, 3 K 3.45-3.53, 1 Mn 3.50
Te 0.7601 0.7601 0.2724  3 Ac 3.32, 3 K 3.51-3.62

## K2AcMo2N6 (PBE)

Data for crystalline K2AcMo2N6 at its relaxed geometry.

Properties
- raw total energy (eV/atom) = -7.155
- raw formation energy (eV per atom) = -0.07
- Fermi-level density of states (states/eV per cell) = 3.5

Unit cell a=5.9844 b=5.9844 c=7.0023 alpha=107.48 beta=107.48 gamma=64.05
Last column: nearest neighbours and their distance in Å.
Positions (direct):
K 0.2059 0.2059 0.1390  5 N 2.78-2.94
K 0.7941 0.7941 0.8610  5 N 2.78-2.94
Ac 0.0000 0.0000 0.5000  6 N 2.60-2.64
Mo 0.4248 0.4248 0.7866  3 N 1.81-1.82
Mo 0.5752 0.5752 0.2134  3 N 1.81-1.82
N 0.2344 0.6959 0.1988  1 Mo 1.82
N 0.2680 0.2680 0.5589  1 Mo 1.81
N 0.3041 0.7656 0.8012  1 Mo 1.82
N 0.6959 0.2344 0.1988  1 Mo 1.82
N 0.7320 0.7320 0.4411  1 Mo 1.81
N 0.7656 0.3041 0.8012  1 Mo 1.82

## K2AcMoN4 (PBE)

Data for crystalline K2AcMoN4 at its relaxed geometry.

Properties
- raw total energy (eV/atom) = -6.748
- raw formation energy (eV per atom) = -0.44
- Fermi-level density of states (states/eV per cell) = 7.2

Unit cell a=7.3388 b=7.7850 c=6.0813 alpha=90.00 beta=90.00 gamma=90.00
Last column: nearest neighbours and their distance in Å.
Positions (direct):
K 0.2381 0.1399 0.0000  4 N 2.63-2.95
K 0.2619 0.8601 0.5000  4 N 2.63-2.95
K 0.7381 0.8601 0.5000  4 N 2.63-2.95
K 0.7619 0.1399 0.0000  4 N 2.63-2.95
Ac 0.0000 0.3937 0.4873  4 N 2.40-2.57
Ac 0.5000 0.6063 0.9873  4 N 2.40-2.57
Mo 0.0000 0.6704 0.9733  4 N 1.87-1.89
Mo 0.5000 0.3296 0.4733  4 N 1.87-1.89
N 0.0000 0.4397 0.0682  1 Mo 1.89
N 0.0000 0.6690 0.6664  1 Mo 1.87
N 0.2182 0.7812 0.0576  1 Mo 1.89
N 0.2818 0.2188 0.5576  1 Mo 1.89
N 0.5000 0.3310 0.1664  1 Mo 1.87
N 0.5000 0.5603 0.5682  1 Mo 1.89
N 0.7182 0.2188 0.5576  1 Mo 1.89
N 0.7818 0.7812 0.0576  1 Mo 1.89

## KAc2Mo2N6 (PBE)

Data for crystalline KAc2Mo2N6 at its relaxed geometry.

Properties
- raw total energy (eV/atom) = -7.893
- raw formation energy (eV per atom) = -0.54
- Fermi-level density of states (states/eV per cell) = 4.7

Unit cell a=6.3865 b=6.9039 c=7.0259 alpha=95.93 beta=115.39 gamma=114.44
Last column: nearest neighbours and their distance in Å.
Positions (direct):
K 0.0000 0.0000 0.0000  4 N 2.78-2.87
Ac 0.3957 0.2867 0.6821  4 N 2.52-2.74
Ac 0.6043 0.7133 0.3179  4 N 2.52-2.74
Mo 0.2199 0.6834 0.6849  3 N 1.83-1.86
Mo 0.7801 0.3166 0.3151  3 N 1.83-1.86
N 0.1167 0.8988 0.6779  1 Mo 1.86
N 0.2529 0.5410 0.8939  1 Mo 1.84
N 0.4705 0.7094 0.6115  1 Mo 1.83
N 0.5295 0.2906 0.3885  1 Mo 1.83
N 0.7471 0.4590 0.1061  1 Mo 1.84
N 0.8833 0.1012 0.3221  1 Mo 1.86

Magnetization across the listed records, respectively: 2.94, 7.96, 3.94, 4.01, 0.93, 2.10, 1.06 Bohr magnetons per cell.